Run a
The following is a PBE calculation of a relaxed In2Cu2Cl crystal, from Alexandria via LeMat-Bulk.

Output
ρ ... 6.57 Mg/m³
Total magnetic moment ... 0.0 μB/f.u.

a b c (Å): 8.0024 8.0024 3.0943
angles (deg): 90.00 90.00 90.00
Closest atoms and distances in Å follow each position.
Space group P4/mbm (No. 127)
One atom of each set of equivalent atoms:
In1 0.1926 0.3074 0.0000 [4 per cell]  6 Cu 2.76-2.93, 2 Cl 2.90
Cu1 0.1057 0.6057 0.5000 [4 per cell]  1 Cu 2.39
Cl1 0.0000 0.0000 0.0000 [2 per cell]  4 In 2.90, 2 Cl 3.09

Run b
The following is a PBE calculation of a relaxed In2Cu2Cl crystal, from Alexandria via LeMat-Bulk.

Output
ρ ... 6.63 Mg/m³
Total magnetic moment ... 0.0 μB/f.u.

a b c (Å): 7.7804 7.7804 3.2432
angles (deg): 90.00 90.00 90.00
Closest atoms and distances in Å follow each position.
Space group P4/mbm (No. 127)
One atom of each set of equivalent atoms:
In1 0.1845 0.3155 0.0000 [4 per cell]  6 Cu 2.77-2.87
Cu1 0.1115 0.6115 0.5000 [4 per cell]  1 Cu 2.45
Cl1 0.0000 0.0000 0.5000 [2 per cell]  4 Cu 3.14, 2 Cl 3.24, 8 In 3.27

Most stable structure among those shown: run a. Next: +0.009 eV/atom.